{"formula": "KCaV", "functional": "PBE", "state": "relaxed", "lattice": [[3.970, 0.000, 0.000], [0.000, 6.793, 0.000], [0.000, 0.000, 16.109]], "species": ["Ca", "Ca", "Ca", "Ca", "K", "K", "K", "K", "V", "V", "V", "V"], "fractional_positions": [[0.749, 0.750, 0.930], [0.251, 0.250, 0.070], [0.249, 0.750, 0.570], [0.751, 0.250, 0.430], [0.248, 0.750, 0.157], [0.748, 0.750, 0.343], [0.252, 0.250, 0.657], [0.752, 0.250, 0.843], [0.749, 0.750, 0.727], [0.251, 0.250, 0.273], [0.249, 0.750, 0.773], [0.751, 0.250, 0.227]], "sg": "Pnma", "de_polymorph_ev_per_atom": 0.143}

***

{"formula": "KCaV", "functional": "PBE", "state": "relaxed", "lattice": [[-3.381, -3.621, 4.428], [6.060, -1.923, -1.931], [4.738, 6.203, 8.690]], "species": ["K", "K", "V", "V", "Ca", "Ca"], "fractional_positions": [[0.667, 0.333, 0.750], [0.333, 0.667, 0.250], [0.000, 0.000, 0.000], [0.000, 0.000, 0.500], [0.000, 0.000, 0.750], [0.000, 0.000, 0.250]], "sg": "P6_3/mmc", "de_polymorph_ev_per_atom": 1.094}

***

{"formula": "KCaV", "functional": "PBE", "state": "relaxed", "lattice": [[3.430, 0.044, -0.037], [-1.322, 7.788, 0.084], [-1.453, -2.111, 8.314]], "species": ["V", "V", "Ca", "Ca", "K", "K"], "fractional_positions": [[0.075, 0.392, 0.501], [0.925, 0.608, 0.499], [0.682, 0.586, 0.822], [0.318, 0.414, 0.178], [0.422, 0.937, 0.264], [0.578, 0.063, 0.736]], "sg": "P-1", "de_polymorph_ev_per_atom": 0.005}

***

{"formula": "K3CaV", "functional": "PBE", "state": "relaxed", "lattice": [[-3.855, 5.920, 1.584], [-2.393, -3.177, 6.050], [5.642, 2.698, 3.648]], "species": ["Ca", "K", "K", "K", "V"], "fractional_positions": [[0.000, 0.000, 0.000], [0.500, 0.000, 0.000], [0.000, 0.500, 0.000], [0.000, 0.000, 0.500], [0.500, 0.500, 0.500]], "sg": "Pm-3m", "de_polymorph_ev_per_atom": 0.367}

***

{"formula": "KCaV", "functional": "PBE", "state": "relaxed", "lattice": [[3.491, 0.002, -0.029], [-0.006, 5.689, 0.003], [-1.193, 2.825, 11.076]], "species": ["K", "K", "V", "V", "Ca", "Ca"], "fractional_positions": [[0.767, 0.776, 0.366], [0.314, 0.162, 0.595], [0.273, 0.360, 0.198], [0.495, 0.432, 0.054], [0.977, 0.938, 0.043], [0.889, 0.551, 0.816]], "sg": "P1", "de_polymorph_ev_per_atom": 0.011}

***

{"formula": "KCaV", "functional": "PBE", "state": "relaxed", "lattice": [[3.259, 0.000, 9.010], [-1.630, 2.822, 9.010], [-1.630, -2.822, 9.010]], "species": ["K", "K", "V", "V", "Ca", "Ca"], "fractional_positions": [[0.377, 0.377, 0.377], [0.967, 0.967, 0.967], [0.571, 0.571, 0.571], [0.504, 0.504, 0.504], [0.208, 0.208, 0.208], [0.824, 0.824, 0.824]], "sg": "R3m", "de_polymorph_ev_per_atom": 0.075}

***

{"formula": "KCaV", "functional": "PBE", "state": "relaxed", "lattice": [[15.464, 0.000, 0.000], [4.140, 2.834, -2.623], [-4.140, 2.834, 2.623]], "species": ["K", "K", "Ca", "Ca", "V", "V"], "fractional_positions": [[0.890, 0.814, 0.186], [0.110, 0.186, 0.814], [0.418, 0.442, 0.558], [0.582, 0.558, 0.442], [0.610, 0.853, 0.147], [0.390, 0.147, 0.853]], "sg": "C2/m", "de_polymorph_ev_per_atom": 0.000}

***

{"formula": "KCaV", "functional": "PBE", "state": "relaxed", "lattice": [[9.967, 0.000, 0.000], [0.000, 4.410, 0.000], [0.000, 0.000, 8.766]], "species": ["V", "V", "V", "V", "K", "K", "K", "K", "Ca", "Ca", "Ca", "Ca"], "fractional_positions": [[0.002, 0.250, 0.005], [0.498, 0.750, 0.505], [0.998, 0.750, 0.995], [0.502, 0.250, 0.495], [0.460, 0.250, 0.133], [0.960, 0.250, 0.367], [0.540, 0.750, 0.867], [0.040, 0.750, 0.633], [0.731, 0.750, 0.241], [0.769, 0.250, 0.741], [0.231, 0.750, 0.259], [0.269, 0.250, 0.759]], "sg": "Pnma", "de_polymorph_ev_per_atom": 0.318}

***

{"formula": "K3CaV", "functional": "PBE", "state": "relaxed", "lattice": [[-0.149, -5.940, 2.905], [0.561, -2.907, -5.914], [6.588, 0.113, 0.570]], "species": ["K", "K", "K", "Ca", "V"], "fractional_positions": [[0.500, 0.000, 0.000], [0.000, 0.500, 0.000], [0.000, 0.000, 0.500], [0.500, 0.500, 0.500], [0.000, 0.000, 0.000]], "sg": "Pm-3m", "de_polymorph_ev_per_atom": 0.000}

***

{"formula": "KCaW3", "functional": "PBE", "state": "relaxed", "lattice": [[-4.420, -1.675, -0.227], [0.282, -0.104, -4.723], [1.667, -4.425, 0.197]], "species": ["W", "W", "W", "K", "Ca"], "fractional_positions": [[0.500, 0.000, 0.000], [0.000, 0.000, 0.500], [0.000, 0.500, 0.000], [0.000, 0.000, 0.000], [0.500, 0.500, 0.500]], "sg": "Pm-3m", "de_polymorph_ev_per_atom": 0.000}

***

{"formula": "KCa2W", "functional": "PBE", "state": "relaxed", "lattice": [[-3.276, -4.740, -1.464], [8.447, 0.380, 1.728], [0.721, -1.375, 2.839]], "species": ["Ca", "Ca", "K", "W"], "fractional_positions": [[0.000, 0.000, 0.000], [0.000, 0.500, 0.500], [0.500, 0.500, 0.000], [0.500, 0.000, 0.500]], "sg": "Cmmm", "de_polymorph_ev_per_atom": 0.374}

***

{"formula": "KCa2W", "functional": "PBE", "state": "relaxed", "lattice": [[4.899, -0.043, 0.017], [3.911, 2.950, 0.017], [0.432, 0.142, 9.412]], "species": ["W", "Ca", "Ca", "K"], "fractional_positions": [[0.250, 0.250, 0.250], [0.517, 0.517, 0.421], [0.983, 0.983, 0.079], [0.750, 0.750, 0.750]], "sg": "C2/m", "de_polymorph_ev_per_atom": 0.233}

***

Copy entry 11 word for word.
{"formula": "KCa2W", "functional": "PBE", "state": "relaxed", "lattice": [[-3.276, -4.740, -1.464], [8.447, 0.380, 1.728], [0.721, -1.375, 2.839]], "species": ["Ca", "Ca", "K", "W"], "fractional_positions": [[0.000, 0.000, 0.000], [0.000, 0.500, 0.500], [0.500, 0.500, 0.000], [0.500, 0.000, 0.500]], "sg": "Cmmm", "de_polymorph_ev_per_atom": 0.374}